Record 1
Here is an optimized crystal structure of NaLa3Mo from Alexandria via LeMat-Bulk. Energies are from GGA-PBE. Values from VASP.

```
&SYSTEM
  ibrav = 0, nat = 5, ntyp = 3
/
ATOMIC_SPECIES
Na 22.99 Na.upf
Mo 95.94 Mo.upf
La 138.91 La.upf
ATOMIC_POSITIONS angstrom
Na 2.823 2.823 2.823
Mo 0.000 0.000 0.000
La 0.000 2.823 0.000
La 0.000 0.000 2.823
La 2.823 0.000 0.000
CELL_PARAMETERS angstrom
5.647 0.000 0.000
0.000 5.647 0.000
0.000 0.000 5.647
```

Output
Energy above the lowest structure with this stoichiometry in meV per atom: 0
Crystal system: cubic
Symmetry: Pm-3m (221)

---

Record 2
Here is an optimized crystal structure of NaLaMo2 from Alexandria via LeMat-Bulk. Energies are from GGA-PBE. Values from VASP.

```
&SYSTEM
  ibrav = 0, nat = 8, ntyp = 3
/
ATOMIC_SPECIES
Na 22.99 Na.upf
Mo 95.94 Mo.upf
La 138.91 La.upf
ATOMIC_POSITIONS angstrom
Na 4.100 4.100 0.000
Na 4.100 8.200 1.319
Mo 5.894 2.050 0.659
Mo 2.306 6.150 0.659
Mo 6.150 6.405 1.978
Mo 10.249 9.994 1.978
La 0.000 0.000 0.000
La 8.200 4.100 1.319
CELL_PARAMETERS angstrom
8.200 0.000 0.000
0.000 8.200 0.000
4.100 4.100 2.637
```

Output
Energy above the lowest structure with this stoichiometry in meV per atom: 82
Crystal system: tetragonal
Symmetry: I-42d (122)

---

Record 3
Here is an optimized crystal structure of NaLaNb2Mo from Alexandria via LeMat-Bulk. Energies are from GGA-PBE. Values from VASP.

```
&SYSTEM
  ibrav = 0, nat = 5, ntyp = 4
/
ATOMIC_SPECIES
Na 22.99 Na.upf
Mo 95.94 Mo.upf
Nb 92.91 Nb.upf
La 138.91 La.upf
ATOMIC_POSITIONS angstrom
Na 0.000 2.467 0.000
Mo 2.482 2.467 2.482
Nb 0.000 0.000 2.482
Nb 2.482 0.000 0.000
La 0.000 0.000 0.000
CELL_PARAMETERS angstrom
4.965 0.000 0.000
0.000 4.934 0.000
0.000 0.000 4.965
```

Output
Crystal system: tetragonal
Symmetry: P4/mmm (123)
E in eV per atom: -5.241

---

Record 4
Here is an optimized crystal structure of NaLaNbMo2 from Alexandria via LeMat-Bulk. Energies are from GGA-PBE. Values from VASP.

```
&SYSTEM
  ibrav = 0, nat = 5, ntyp = 4
/
ATOMIC_SPECIES
Na 22.99 Na.upf
Mo 95.94 Mo.upf
Nb 92.91 Nb.upf
La 138.91 La.upf
ATOMIC_POSITIONS angstrom
Na 0.000 2.454 0.000
Mo 0.000 0.000 2.431
Mo 2.431 0.000 0.000
Nb 2.431 2.454 2.431
La 0.000 0.000 0.000
CELL_PARAMETERS angstrom
4.862 0.000 0.000
0.000 4.909 0.000
0.000 0.000 4.862
```

Output
Crystal system: tetragonal
Symmetry: P4/mmm (123)
E in eV per atom: -5.524

---

We obtain ρ values of 4.940 6.626 6.057 6.392 g/cm3 for the records listed above, in that order.